# 1
# K3PuBr6, optimized geometry, DFT GGA-PBE
data_K3PuBr6
_symmetry_space_group_name_H-M 'R -3'
_symmetry_Int_Tables_number 148
_symmetry_space_group_name_Hall '-R 3'
_cell_length_a 13.4590
_cell_length_b 13.4590
_cell_length_c 15.9872
_cell_angle_alpha 90.00
_cell_angle_beta 90.00
_cell_angle_gamma 120.00
loop_
_atom_site_label
_atom_site_fract_x
_atom_site_fract_y
_atom_site_fract_z
K1 0.0488 0.7775 0.2024
Pu1 0.0000 0.0000 0.0000
Pu2 0.0000 0.0000 0.5000
Br1 0.0223 0.8309 0.4023
Br2 0.0320 0.8469 0.8915
# Electronic total energy (eV/cell): -266.8
# Formation energy from raw total energies (eV per atom): -1.6799
# DOS at the Fermi energy (states/eV per cell): 67.13
# Spin magnetization (μB per formula unit): 5.00
# Relative energy among the computed polymorphs (meV per atom): 0
# ρ (Mg/m³): 3.3

=====

# 2
# Al2CuRu2, optimized geometry, DFT GGA-PBE
data_Al2CuRu2
_symmetry_space_group_name_H-M 'P 4/m b m'
_symmetry_Int_Tables_number 127
_symmetry_space_group_name_Hall '-P 4 2ab'
_cell_length_a 6.696
_cell_length_b 6.696
_cell_length_c 3.232
_cell_angle_alpha 90.00
_cell_angle_beta 90.00
_cell_angle_gamma 90.00
loop_
_atom_site_label
_atom_site_fract_x
_atom_site_fract_y
_atom_site_fract_z
Al1 0.155 0.345 0.000
Cu1 0.000 0.000 0.500
Ru1 0.145 0.645 0.500
# Electronic total energy (eV/cell): -62.7
# E_form (eV/atom): -0.244
# DOS at the Fermi energy (states/eV per cell): 10.50
# Spin magnetization (μB per formula unit): 0.00
# Relative energy among the computed polymorphs (meV per atom): 32
# ρ (Mg/m³): 7.3

=====

# 3
# YHo3, optimized geometry, DFT GGA-PBE
data_YHo3
_symmetry_space_group_name_H-M 'P 63/m m c'
_symmetry_Int_Tables_number 194
_symmetry_space_group_name_Hall '-P 6c 2c'
_cell_length_a 7.2178
_cell_length_b 7.2178
_cell_length_c 5.6250
_cell_angle_alpha 90.00
_cell_angle_beta 90.00
_cell_angle_gamma 120.00
loop_
_atom_site_label
_atom_site_fract_x
_atom_site_fract_y
_atom_site_fract_z
Y1 0.3333 0.6667 0.2500
Ho1 0.1660 0.3320 0.7500
# Electronic total energy (eV/cell): -40.3
# E_form (eV/atom): 0.006
# DOS at the Fermi energy (states/eV per cell): 16.73
# Spin magnetization (μB per formula unit): 0.00
# Relative energy among the computed polymorphs (meV per atom): 4
# ρ (Mg/m³): 7.6

=====

# 4
# YThCuNi, optimized geometry, DFT GGA-PBE
data_YThCuNi
_symmetry_space_group_name_H-M 'A m m 2'
_symmetry_Int_Tables_number 38
_symmetry_space_group_name_Hall 'A 2 -2'
_cell_length_a 4.267
_cell_length_b 3.707
_cell_length_c 11.030
_cell_angle_alpha 90.00
_cell_angle_beta 90.00
_cell_angle_gamma 90.00
loop_
_atom_site_label
_atom_site_fract_x
_atom_site_fract_y
_atom_site_fract_z
Y1 0.000 0.000 0.000
Th1 0.500 0.000 0.728
Cu1 0.500 0.000 0.436
Ni1 0.000 0.000 0.274
# Electronic total energy (eV/cell): -50.1
# E_form (eV/atom): -0.327
# DOS at the Fermi energy (states/eV per cell): 5.81
# Spin magnetization (μB per formula unit): 0.00
# Relative energy among the computed polymorphs (meV per atom): 0
# ρ (Mg/m³): 8.4

=====

# 5
# ErMg3Cd2, optimized geometry, DFT GGA-PBE
data_ErMg3Cd2
_symmetry_space_group_name_H-M 'C 1 2/m 1'
_symmetry_Int_Tables_number 12
_symmetry_space_group_name_Hall '-C 2y'
_cell_length_a 16.796
_cell_length_b 4.765
_cell_length_c 7.521
_cell_angle_alpha 90.00
_cell_angle_beta 110.29
_cell_angle_gamma 90.00
loop_
_atom_site_label
_atom_site_fract_x
_atom_site_fract_y
_atom_site_fract_z
Er1 0.113 0.000 0.181
Mg1 0.072 0.000 0.704
Mg2 0.121 0.500 0.505
Mg3 0.199 0.500 0.931
Cd1 0.020 0.500 0.835
Cd2 0.239 0.000 0.651
# Electronic total energy (eV/cell): -47.8
# E_form (eV/atom): -0.130
# DOS at the Fermi energy (states/eV per cell): 12.67
# Spin magnetization (μB per formula unit): 0.00
# Relative energy among the computed polymorphs (meV per atom): 58
# ρ (Mg/m³): 5.5

=====

# 6
# InMoPd2, optimized geometry, DFT GGA-PBE
data_InMoPd2
_symmetry_space_group_name_H-M 'I -4 2 d'
_symmetry_Int_Tables_number 122
_symmetry_space_group_name_Hall 'I -4 2bw'
_cell_length_a 3.986
_cell_length_b 3.986
_cell_length_c 18.383
_cell_angle_alpha 90.00
_cell_angle_beta 90.00
_cell_angle_gamma 90.00
loop_
_atom_site_label
_atom_site_fract_x
_atom_site_fract_y
_atom_site_fract_z
In1 0.000 0.000 0.000
Mo1 0.000 0.000 0.500
Pd1 0.241 0.250 0.625
# Electronic total energy (eV/cell): -90.2
# E_form (eV/atom): 0.352
# DOS at the Fermi energy (states/eV per cell): 9.24
# Spin magnetization (μB per formula unit): 0.00
# ρ (Mg/m³): 9.6

=====

# 7
# Cs2Hg2Br, optimized geometry, DFT GGA-PBE
data_Cs2Hg2Br
_symmetry_space_group_name_H-M 'I 4/m m m'
_symmetry_Int_Tables_number 139
_symmetry_space_group_name_Hall '-I 4 2'
_cell_length_a 7.179
_cell_length_b 7.179
_cell_length_c 10.229
_cell_angle_alpha 90.00
_cell_angle_beta 90.00
_cell_angle_gamma 90.00
loop_
_atom_site_label
_atom_site_fract_x
_atom_site_fract_y
_atom_site_fract_z
Cs1 0.000 0.500 0.250
Hg1 0.000 0.000 0.148
Br1 0.000 0.000 0.500
# Electronic total energy (eV/cell): -13.9
# Formation energy from raw total energies (eV per atom): -0.5893
# DOS at the Fermi energy (states/eV per cell): 7.81
# Spin magnetization (μB per formula unit): 0.00
# Relative energy among the computed polymorphs (meV per atom): 222
# ρ (Mg/m³): 4.7

=====

# 8
# AcSmTe2, optimized geometry, DFT GGA-PBE
data_AcSmTe2
_symmetry_space_group_name_H-M 'R -3 m'
_symmetry_Int_Tables_number 166
_symmetry_space_group_name_Hall '-R 3 2"'
_cell_length_a 4.5780
_cell_length_b 4.5780
_cell_length_c 22.5614
_cell_angle_alpha 90.00
_cell_angle_beta 90.00
_cell_angle_gamma 120.00
loop_
_atom_site_label
_atom_site_fract_x
_atom_site_fract_y
_atom_site_fract_z
Ac1 0.0000 0.0000 0.0000
Sm1 0.0000 0.0000 0.5000
Te1 0.0000 0.0000 0.2436
# Electronic total energy (eV/cell): -62.5
# Formation energy from raw total energies (eV per atom): -1.4337
# DOS at the Fermi energy (states/eV per cell): 6.61
# Spin magnetization (μB per formula unit): 0.00
# Relative energy among the computed polymorphs (meV per atom): 0
# ρ (Mg/m³): 7.7